A crystal of CrCo2Tc relaxed with PBEsol. Source: Alexandria via LeMat-Bulk, functional SCAN.

Values from the calculation:
The formation energy from the elements comes out at 128 meV per atom.

a b c (Å): 2.514 4.029 4.402
angles (deg): 90.00 90.00 90.00
Space group Pmm2 (No. 25)
Symmetry-distinct sites (fractional):
Cr 0.000 0.000 0.000 x1
Co 0.500 0.000 0.485 x1
Co 0.500 0.500 0.157 x1
Tc 0.000 0.500 0.654 x1

---

A crystal of CrCo2Tc relaxed with PBEsol. Source: Alexandria via LeMat-Bulk, functional SCAN.

Values from the calculation:
The formation energy from the elements comes out at 145 meV per atom.

a b c (Å): 3.513 3.513 7.232
angles (deg): 90.00 90.00 90.00
Space group I4/mmm (No. 139)
Symmetry-distinct sites (fractional):
Cr 0.000 0.000 0.000 x2
Co 0.000 0.500 0.250 x4
Tc 0.000 0.000 0.500 x2

---

A crystal of CrCoTc relaxed with PBEsol. Source: Alexandria via LeMat-Bulk, functional SCAN.

Values from the calculation:
The formation energy from the elements comes out at 257 meV per atom.

a b c (Å): 2.491 3.671 7.731
angles (deg): 90.00 90.00 90.00
Space group Imm2 (No. 44)
Symmetry-distinct sites (fractional):
Cr 0.000 0.000 0.000 x2
Co 0.000 0.000 0.343 x2
Tc 0.000 0.000 0.675 x2

---

A crystal of CrCo2Tc relaxed with PBEsol. Source: Alexandria via LeMat-Bulk, functional SCAN.

Values from the calculation:
The formation energy from the elements comes out at 245 meV per atom.

a b c (Å): 5.658 5.658 5.658
angles (deg): 90.00 90.00 90.00
Space group F-43m (No. 216)
Symmetry-distinct sites (fractional):
Cr 0.000 0.000 0.000 x4
Co 0.000 0.000 0.500 x4
Co 0.250 0.250 0.750 x4
Tc 0.250 0.250 0.250 x4

---

A crystal of Cr4CoTe relaxed with PBEsol. Source: Alexandria via LeMat-Bulk, functional SCAN.

Values from the calculation:
The calculation puts the formation energy from raw total energies at 557 meV per atom.

a b c (Å): 6.716 6.716 6.716
angles (deg): 90.00 90.00 90.00
Space group F-43m (No. 216)
Symmetry-distinct sites (fractional):
Cr 0.124 0.124 0.124 x16
Co 0.250 0.250 0.750 x4
Te 0.000 0.000 0.500 x4

---

A crystal of CrCo3Te relaxed with PBEsol. Source: Alexandria via LeMat-Bulk, functional SCAN.

Values from the calculation:
The calculation puts the formation energy from raw total energies at 1321 meV per atom.

a b c (Å): 4.185 4.185 4.185
angles (deg): 90.00 90.00 90.00
Space group Pm-3m (No. 221)
Symmetry-distinct sites (fractional):
Cr 0.000 0.000 0.000 x1
Co 0.000 0.000 0.500 x3
Te 0.500 0.500 0.500 x1

---

A crystal of CrCoTe relaxed with PBEsol. Source: Alexandria via LeMat-Bulk, functional SCAN.

Values from the calculation:
The calculation puts the formation energy from raw total energies at 313 meV per atom.

a b c (Å): 3.414 3.414 7.758
angles (deg): 90.00 90.00 90.00
Space group I4mm (No. 107)
Symmetry-distinct sites (fractional):
Cr 0.000 0.000 0.000 x2
Co 0.000 0.000 0.654 x2
Te 0.000 0.000 0.332 x2

---

A crystal of CrCo2Te relaxed with PBEsol. Source: Alexandria via LeMat-Bulk, functional SCAN.

Values from the calculation:
The calculation puts the formation energy from raw total energies at 469 meV per atom.

a b c (Å): 3.202 3.202 5.184
angles (deg): 90.00 90.00 90.00
Space group P4mm (No. 99)
Symmetry-distinct sites (fractional):
Cr 0.000 0.000 0.000 x1
Co 0.000 0.000 0.556 x1
Co 0.500 0.500 0.802 x1
Te 0.500 0.500 0.312 x1

---

A crystal of CrCo2Te relaxed with PBEsol. Source: Alexandria via LeMat-Bulk, functional SCAN.

Values from the calculation:
The calculation puts the formation energy from raw total energies at 568 meV per atom.

a b c (Å): 3.778 3.778 16.446
angles (deg): 90.00 90.00 90.00
Space group I-42d (No. 122)
Symmetry-distinct sites (fractional):
Cr 0.000 0.000 0.000 x4
Co 0.219 0.250 0.125 x8
Te 0.000 0.000 0.500 x4

---

A crystal of Cr2CoTe4 relaxed with PBEsol. Source: Alexandria via LeMat-Bulk, functional SCAN.

Values from the calculation:
The calculation puts the formation energy from raw total energies at -373 meV per atom.

a b c (Å): 13.021 3.935 6.717
angles (deg): 90.00 120.33 90.00
Space group C2/m (No. 12)
Symmetry-distinct sites (fractional):
Cr 0.245 0.000 0.229 x4
Co 0.000 0.500 0.500 x2
Te 0.114 0.500 0.950 x4
Te 0.124 0.000 0.463 x4

---

A crystal of TiCrCo2 relaxed with PBEsol. Source: Alexandria via LeMat-Bulk, functional SCAN.

Values from the calculation:
The formation energy from the elements comes out at -243 meV per atom.

a b c (Å): 5.757 5.757 5.757
angles (deg): 90.00 90.00 90.00
Space group Fm-3m (No. 225)
Symmetry-distinct sites (fractional):
Ti 0.000 0.000 0.000 x4
Cr 0.000 0.000 0.500 x4
Co 0.250 0.250 0.250 x8

---

A crystal of CrCo2W relaxed with PBEsol. Source: Alexandria via LeMat-Bulk, functional SCAN.

Values from the calculation:
The formation energy from the elements comes out at 160 meV per atom.

a b c (Å): 3.587 3.587 7.193
angles (deg): 90.00 90.00 90.00
Space group I4/mmm (No. 139)
Symmetry-distinct sites (fractional):
Cr 0.000 0.000 0.000 x2
Co 0.000 0.500 0.250 x4
W 0.000 0.000 0.500 x2

---

A crystal of CrCoW relaxed with PBEsol. Source: Alexandria via LeMat-Bulk, functional SCAN.

Values from the calculation:
The formation energy from the elements comes out at 155 meV per atom.

a b c (Å): 3.010 3.010 8.406
angles (deg): 90.00 90.00 90.00
Space group I4mm (No. 107)
Symmetry-distinct sites (fractional):
Cr 0.000 0.000 0.000 x2
Co 0.000 0.000 0.336 x2
W 0.000 0.000 0.666 x2

---

A crystal of CrCoW2 relaxed with PBEsol. Source: Alexandria via LeMat-Bulk, functional SCAN.

Values from the calculation:
The formation energy from the elements comes out at 180 meV per atom.

a b c (Å): 3.076 4.176 8.312
angles (deg): 90.00 90.00 90.00
Space group Imm2 (No. 44)
Symmetry-distinct sites (fractional):
Cr 0.000 0.000 0.000 x2
Co 0.000 0.500 0.248 x2
W 0.000 0.000 0.492 x2
W 0.000 0.500 0.736 x2

---

A crystal of Cr2CoW relaxed with PBEsol. Source: Alexandria via LeMat-Bulk, functional SCAN.

Values from the calculation:
The formation energy from the elements comes out at 458 meV per atom.

a b c (Å): 5.117 7.373 2.603
angles (deg): 90.00 90.00 90.00
Space group Cmmm (No. 65)
Symmetry-distinct sites (fractional):
Cr 0.250 0.250 0.000 x4
Co 0.000 0.000 0.500 x2
W 0.000 0.500 0.500 x2

---

A crystal of CrCo2W relaxed with PBEsol. Source: Alexandria via LeMat-Bulk, functional SCAN.

Values from the calculation:
The formation energy from the elements comes out at 160 meV per atom.

a b c (Å): 3.586 3.586 3.597
angles (deg): 90.00 90.00 90.00
Space group P4/mmm (No. 123)
Symmetry-distinct sites (fractional):
Cr 0.000 0.000 0.000 x1
Co 0.000 0.500 0.500 x2
W 0.500 0.500 0.000 x1

---

A crystal of CrCo6W relaxed with PBEsol. Source: Alexandria via LeMat-Bulk, functional SCAN.

Values from the calculation:
The formation energy from the elements comes out at 160 meV per atom.

a b c (Å): 6.983 9.896 9.891
angles (deg): 90.00 90.00 90.00
Space group Cmmm (No. 65)
Symmetry-distinct sites (fractional):
Cr 0.000 0.000 0.247 x4
Cr 0.000 0.253 0.000 x4
Co 0.000 0.000 0.000 x2
Co 0.000 0.000 0.500 x2
Co 0.000 0.247 0.245 x8
Co 0.000 0.500 0.000 x2
Co 0.000 0.500 0.500 x2
Co 0.245 0.123 0.372 x16
Co 0.245 0.127 0.122 x16
W 0.000 0.253 0.500 x4
W 0.000 0.500 0.248 x4

---

A crystal of CrCoW2 relaxed with PBEsol. Source: Alexandria via LeMat-Bulk, functional SCAN.

Values from the calculation:
The formation energy from the elements comes out at 155 meV per atom.

a b c (Å): 3.060 3.060 5.718
angles (deg): 90.00 90.00 90.00
Space group P4mm (No. 99)
Symmetry-distinct sites (fractional):
Cr 0.000 0.000 0.000 x1
Co 0.500 0.500 0.759 x1
W 0.000 0.000 0.527 x1
W 0.500 0.500 0.240 x1

---

A crystal of CrCoW2 relaxed with PBEsol. Source: Alexandria via LeMat-Bulk, functional SCAN.

Values from the calculation:
The formation energy from the elements comes out at 201 meV per atom.

a b c (Å): 5.276 8.172 2.618
angles (deg): 90.00 108.28 90.00
Space group C2/m (No. 12)
Symmetry-distinct sites (fractional):
Cr 0.000 0.000 0.000 x2
Co 0.000 0.500 0.000 x2
W 0.250 0.250 0.500 x4

---

A crystal of Y2CrCo relaxed with PBEsol. Source: Alexandria via LeMat-Bulk, functional SCAN.

Values from the calculation:
The formation energy from the elements comes out at 122 meV per atom.

a b c (Å): 3.662 4.382 10.103
angles (deg): 90.00 90.00 90.00
Space group Amm2 (No. 38)
Symmetry-distinct sites (fractional):
Y 0.000 0.000 0.000 x2
Y 0.500 0.000 0.293 x2
Cr 0.500 0.000 0.599 x2
Co 0.000 0.000 0.707 x2

---

In order of appearance, VASP energy = -21.885; -21.869; -23.326; -21.768; -20.792; -20.189; -24.000; -22.092; -21.993; -29.384; -17.499; -30.511; -34.971; -43.587; -30.483; -30.510; -23.827; -43.612; -43.566; -22.722 eV per atom.